Model A:
Crystalline CoOsPt3 at its relaxed geometry, computed with PBEsol.

Cell and atoms, written as extended XYZ:
```
5
Lattice="4.3773 0.0000 0.0000 0.0000 4.3773 0.0000 0.0000 0.0000 4.3773" Properties=species:S:1:pos:R:3 pbc="T T T"
Co 0.0000 0.0000 0.0000
Os 2.1886 2.1886 2.1886
Pt 0.0000 0.0000 2.1886
Pt 0.0000 2.1886 0.0000
Pt 2.1886 0.0000 0.0000
```

---

Model B:
Crystalline CoOsPt3 at its relaxed geometry, computed with PBEsol.

Cell and atoms, written as extended XYZ:
```
5
Lattice="4.7348 0.0000 0.0000 0.0000 4.7348 0.0000 0.0000 0.0000 4.7348" Properties=species:S:1:pos:R:3 pbc="T T T"
Co 0.0000 0.0000 0.0000
Os 2.3674 2.3674 2.3674
Pt 0.0000 2.3674 2.3674
Pt 2.3674 0.0000 2.3674
Pt 2.3674 2.3674 0.0000
```

---

If we sort the structures by their calculated energies, the order from most to least stable is model A, model B.